! PrNd3Bi3 | Alexandria | PBE | optimized geometry; values from VASP
! Space group: P2_13 (198)
! DFT total energy, eV per atom: -5.226
! Total magnetic moment, μB per atom: 0.000
! Formation enthalpy at 0 K, meV per atom: -836.6
! Crystal system: cubic
! DOS at the Fermi energy, states/eV/f.u.: 8.0
&SYSTEM
  ibrav = 0, nat = 28, ntyp = 3
/
ATOMIC_SPECIES
Pr 140.91 Pr.upf
Nd 144.24 Nd.upf
Bi 208.98 Bi.upf
CELL_PARAMETERS angstrom
9.717 0.000 0.000
0.000 9.717 0.000
0.000 0.000 9.717
ATOMIC_POSITIONS crystal
Pr 0.071 0.429 0.571
Pr 0.429 0.571 0.071
Pr 0.571 0.071 0.429
Pr 0.929 0.929 0.929
Nd 0.072 0.572 0.928
Nd 0.179 0.179 0.179
Nd 0.179 0.821 0.321
Nd 0.321 0.179 0.821
Nd 0.321 0.821 0.679
Nd 0.428 0.428 0.428
Nd 0.572 0.928 0.072
Nd 0.679 0.321 0.821
Nd 0.679 0.679 0.679
Nd 0.821 0.321 0.179
Nd 0.821 0.679 0.321
Nd 0.928 0.072 0.572
Bi 0.000 0.251 0.876
Bi 0.000 0.751 0.624
Bi 0.124 0.500 0.249
Bi 0.249 0.124 0.500
Bi 0.251 0.876 0.000
Bi 0.376 0.500 0.749
Bi 0.500 0.249 0.124
Bi 0.500 0.749 0.376
Bi 0.624 0.000 0.751
Bi 0.749 0.376 0.500
Bi 0.751 0.624 0.000
Bi 0.876 0.000 0.251